NdSm5Se8: optimized geometry, PBE.

```
NdSm5Se8
1.0
-4.539 4.539 4.309
4.539 -4.539 4.309
4.539 4.539 -4.309
Nd Sm Se
1 5 8
direct
0.000 0.000 0.000
0.124 0.216 0.590
0.250 0.750 0.500
0.466 0.876 0.092
0.626 0.534 0.410
0.784 0.374 0.908
0.010 0.618 0.742
0.242 0.485 0.113
0.372 0.129 0.887
0.382 0.124 0.392
0.515 0.628 0.757
0.732 0.990 0.608
0.871 0.758 0.243
0.876 0.268 0.258
```

Computed properties:
- Space-group type: No. 82
- DFT total energy: -5.86 eV per atom